## FeTe (PBE)

Data for an optimized crystal structure of FeTe.

Summary:
Its uncorrected formation energy is 210.9 meV/atom. As for the magnetic moment: 1.192 μB per atom.

abc: 3.9135 3.3085 6.8081
angles: 90.00 90.00 90.00
Space group Pmma (No. 51)
Symmetry-distinct sites (fractional):
Fe: 0.2500 0.0000 0.0975 (multiplicity 2)
Te: 0.2500 0.5000 0.7541 (multiplicity 2)

***

## Li2HoTlO4 (PBE)

Data for an optimized crystal structure of Li2HoTlO4.

Summary:
Its uncorrected formation energy is -1976.3 meV/atom. As for the magnetic moment: 0.000 μB per atom.

abc: 5.4433 3.3929 5.6391
angles: 90.00 107.72 90.00
Space group P2/m (No. 10)
Symmetry-distinct sites (fractional):
Li: 0.0000 0.0000 0.0000 (multiplicity 1)
Li: 0.0000 0.5000 0.5000 (multiplicity 1)
Ho: 0.5000 0.0000 0.5000 (multiplicity 1)
Tl: 0.5000 0.5000 0.0000 (multiplicity 1)
O: 0.2507 0.0000 0.7620 (multiplicity 2)
O: 0.2582 0.5000 0.2771 (multiplicity 2)

***

## LaMgOs2 (PBE)

Data for an optimized crystal structure of LaMgOs2.

Summary:
Its energy of formation from the pure elements is 458 meV/atom. As for the magnetic moment: 0.392 μB per atom.

abc: 3.4932 3.4932 6.4895
angles: 90.00 90.00 90.00
Space group P4/mmm (No. 123)
Symmetry-distinct sites (fractional):
La: 0.0000 0.0000 0.0000 (multiplicity 1)
Mg: 0.0000 0.0000 0.5000 (multiplicity 1)
Os: 0.5000 0.5000 0.3045 (multiplicity 2)

***

## CoRe2NiIr (PBE)

Data for an optimized crystal structure of CoRe2NiIr.

Summary:
Its energy of formation from the pure elements is 1593 meV/atom. As for the magnetic moment: 0.213 μB per atom.

abc: 4.3493 4.3493 4.1466
angles: 90.00 90.00 90.00
Space group P4/mmm (No. 123)
Symmetry-distinct sites (fractional):
Co: 0.0000 0.0000 0.0000 (multiplicity 1)
Re: 0.0000 0.5000 0.5000 (multiplicity 2)
Ni: 0.0000 0.0000 0.5000 (multiplicity 1)
Ir: 0.5000 0.5000 0.0000 (multiplicity 1)

***

## CdInW2 (PBE)

Data for an optimized crystal structure of CdInW2.

Summary:
Its energy of formation from the pure elements is 555 meV/atom. As for the magnetic moment: 0.000 μB per atom.

abc: 2.8711 4.5380 5.7710
angles: 90.00 101.15 90.00
Space group Pm (No. 6)
Symmetry-distinct sites (fractional):
Cd: 0.0000 0.0000 0.0000 (multiplicity 1)
In: 0.8175 0.5000 0.2633 (multiplicity 1)
W: 0.3316 0.5000 0.7411 (multiplicity 1)
W: 0.4963 0.0000 0.5265 (multiplicity 1)

***

## TaTeHN2 (PBE)

Data for an optimized crystal structure of TaTeHN2.

Summary:
The calculation puts the total energy at -31.70 eV per formula unit. As for the magnetic moment: 0.128 μB per atom.

abc: 3.9446 3.9446 5.8257
angles: 90.00 90.00 90.00
Space group P4/mmm (No. 123)
Symmetry-distinct sites (fractional):
Ta: 0.0000 0.0000 0.0000 (multiplicity 1)
Te: 0.0000 0.0000 0.5000 (multiplicity 1)
H: 0.5000 0.5000 0.5000 (multiplicity 1)
N: 0.0000 0.5000 0.0000 (multiplicity 2)

***

## Pm5Sb4Br (PBE)

Data for an optimized crystal structure of Pm5Sb4Br.

Summary:
Its uncorrected formation energy is -1201.3 meV/atom. As for the magnetic moment: 0.000 μB per atom.

abc: 4.4922 6.2972 22.2752
angles: 90.00 90.00 90.00
Space group Immm (No. 71)
Symmetry-distinct sites (fractional):
Pm: 0.0000 0.0000 0.0000 (multiplicity 2)
Pm: 0.0000 0.0000 0.1993 (multiplicity 4)
Pm: 0.0000 0.0000 0.3936 (multiplicity 4)
Sb: 0.0000 0.5000 0.2003 (multiplicity 4)
Sb: 0.0000 0.5000 0.4018 (multiplicity 4)
Br: 0.0000 0.5000 0.0000 (multiplicity 2)

***

## La2CeNd (PBE)

Data for an optimized crystal structure of La2CeNd.

Summary:
Its energy of formation from the pure elements is 195 meV/atom. As for the magnetic moment: 0.793 μB per atom.

abc: 8.2842 8.2842 8.2842
angles: 90.00 90.00 90.00
Space group Fm-3m (No. 225)
Symmetry-distinct sites (fractional):
La: 0.2500 0.2500 0.2500 (multiplicity 8)
Ce: 0.0000 0.0000 0.0000 (multiplicity 4)
Nd: 0.0000 0.0000 0.5000 (multiplicity 4)

***

## Tb2Ni4Ge3Pd (PBE)

Data for an optimized crystal structure of Tb2Ni4Ge3Pd.

Summary:
Its energy of formation from the pure elements is -637 meV/atom. As for the magnetic moment: 0.000 μB per atom.

abc: 4.0068 4.0068 10.1466
angles: 90.00 90.00 90.00
Space group P-4m2 (No. 115)
Symmetry-distinct sites (fractional):
Tb: 0.0000 0.5000 0.2503 (multiplicity 2)
Ni: 0.0000 0.0000 0.0000 (multiplicity 1)
Ni: 0.0000 0.5000 0.6452 (multiplicity 2)
Ni: 0.5000 0.5000 0.0000 (multiplicity 1)
Ge: 0.0000 0.5000 0.8739 (multiplicity 2)
Ge: 0.5000 0.5000 0.5000 (multiplicity 1)
Pd: 0.0000 0.0000 0.5000 (multiplicity 1)

***

## Be2RuPt (PBE)

Data for an optimized crystal structure of Be2RuPt.

Summary:
Its energy of formation from the pure elements is 11 meV/atom. As for the magnetic moment: 0.000 μB per atom.

abc: 5.9836 5.9836 5.4676
angles: 90.00 90.00 90.00
Space group I-42d (No. 122)
Symmetry-distinct sites (fractional):
Be: 0.2495 0.7500 0.1250 (multiplicity 8)
Ru: 0.0000 0.0000 0.5000 (multiplicity 4)
Pt: 0.0000 0.0000 0.0000 (multiplicity 4)

***

## Y2Al (PBE)

Data for an optimized crystal structure of Y2Al.

Summary:
Its energy of formation from the pure elements is -182 meV/atom. As for the magnetic moment: 0.161 μB per atom.

abc: 13.5229 3.5079 7.5166
angles: 90.00 109.37 90.00
Space group C2/m (No. 12)
Symmetry-distinct sites (fractional):
Y: 0.0258 0.0000 0.2951 (multiplicity 4)
Y: 0.2132 0.5000 0.7105 (multiplicity 4)
Al: 0.1072 0.5000 0.0258 (multiplicity 4)

***

## AcGd2Tm (PBE)

Data for an optimized crystal structure of AcGd2Tm.

Summary:
Its energy of formation from the pure elements is 175 meV/atom. As for the magnetic moment: 3.736 μB per atom.

abc: 3.5965 3.5965 37.9703
angles: 90.00 90.00 120.00
Space group R-3m (No. 166, hexagonal axes)
Symmetry-distinct sites (fractional):
Ac: 0.0000 0.0000 0.0000 (multiplicity 3)
Gd: 0.0000 0.0000 0.0930 (multiplicity 6)
Tm: 0.0000 0.0000 0.5000 (multiplicity 3)

***

## PaAgH6Rh (PBE)

Data for an optimized crystal structure of PaAgH6Rh.

Summary:
The calculation puts the total energy at -40.34 eV per formula unit. As for the magnetic moment: 0.131 μB per atom.

abc: 4.6704 4.6704 4.3053
angles: 90.00 90.00 120.00
Space group P-6m2 (No. 187)
Symmetry-distinct sites (fractional):
Pa: 0.0000 0.0000 0.0000 (multiplicity 1)
Ag: 0.3333 0.6667 0.5000 (multiplicity 1)
H: 0.5158 0.0315 0.2024 (multiplicity 6)
Rh: 0.6667 0.3333 0.5000 (multiplicity 1)

***

## PPt2C2 (PBE)

Data for an optimized crystal structure of PPt2C2.

Summary:
Its energy of formation from the pure elements is 1628 meV/atom. As for the magnetic moment: 0.000 μB per atom.

abc: 6.5850 6.5850 3.0266
angles: 90.00 90.00 90.00
Space group P4/mbm (No. 127)
Symmetry-distinct sites (fractional):
P: 0.0000 0.0000 0.0000 (multiplicity 2)
Pt: 0.1517 0.3483 0.5000 (multiplicity 4)
C: 0.2055 0.7055 0.0000 (multiplicity 4)